P.
Crystalline FeOs2Cl at its relaxed geometry. Source: Alexandria via LeMat-Bulk, functional GGA-PBE.

Geometry as POSCAR:
```
FeOs2Cl
1.0
0.012 -5.316 -2.379
0.522 -5.794 0.284
-3.797 -0.945 0.558
Os Fe Cl
2 1 1
Direct
0.954 0.954 0.031 Os
0.546 0.546 0.469 Os
0.250 0.250 0.250 Fe
0.750 0.750 0.750 Cl
```

Results
N(E_F) ... 3.4 states/eV per cell
Space group ... C2/m, No. 12



Q.
Crystalline FeOs2Cl at its relaxed geometry. Source: Alexandria via LeMat-Bulk, functional GGA-PBE.

Geometry as POSCAR:
```
FeOs2Cl
1.0
-0.458 1.109 -2.675
1.340 -2.319 -1.191
-6.042 -3.316 -0.340
Cl Os Fe
1 2 1
Direct
0.500 0.500 0.250 Cl
0.000 0.000 0.548 Os
0.000 0.000 0.952 Os
0.500 0.500 0.750 Fe
```

Results
N(E_F) ... 4.3 states/eV per cell
Space group ... P4/mmm, No. 123



R.
Crystalline FeOs2Cl at its relaxed geometry. Source: Alexandria via LeMat-Bulk, functional GGA-PBE.

Geometry as POSCAR:
```
FeOs2Cl
1.0
-3.973 -1.885 2.505
-1.846 -1.959 4.285
-1.142 3.860 1.524
Os Cl Fe
2 1 1
Direct
0.718 0.718 0.804 Os
0.984 0.984 0.953 Os
0.507 0.507 0.474 Cl
0.290 0.290 0.269 Fe
```

Results
N(E_F) ... 3.8 states/eV per cell
Space group ... Cm, No. 8



S.
Crystalline FeOs2Cl at its relaxed geometry. Source: Alexandria via LeMat-Bulk, functional GGA-PBE.

Geometry as POSCAR:
```
FeOs2Cl
1.0
-1.638 1.808 -8.342
0.631 0.164 -8.667
-1.927 -0.996 -8.416
Fe Cl Os
1 1 2
Direct
0.754 0.754 0.754 Fe
0.487 0.487 0.487 Cl
0.257 0.257 0.257 Os
0.002 0.002 0.002 Os
```

Results
N(E_F) ... 3.6 states/eV per cell
Space group ... R3m, No. 160



S is preferred energetically. Next in line: 257 meV/atom higher.



P.
Crystalline FeOs2Cl at its relaxed geometry. Source: Alexandria via LeMat-Bulk, functional GGA-PBE.

Geometry as POSCAR:
```
FeOs2Cl
1.0
-1.810 -2.671 2.782
-3.303 -2.409 -1.199
0.488 -4.208 -0.460
Os Fe Cl
2 1 1
Direct
0.750 0.750 0.750 Os
0.250 0.250 0.250 Os
0.500 0.500 0.500 Fe
0.000 0.000 0.000 Cl
```

Results
N(E_F) ... 4.3 states/eV per cell
Space group ... Fm-3m, No. 225



Q.
Crystalline FeOs2Cl at its relaxed geometry. Source: Alexandria via LeMat-Bulk, functional GGA-PBE.

Geometry as POSCAR:
```
FeOs2Cl
1.0
2.821 0.000 0.000
0.000 2.809 -0.372
0.000 -0.385 7.632
Cl Os Fe
1 2 1
Direct
0.000 0.693 0.516 Cl
0.000 0.942 0.006 Os
0.500 0.549 0.226 Os
0.500 0.315 0.751 Fe
```

Results
N(E_F) ... 3.2 states/eV per cell
Space group ... Pm, No. 6



Q is preferred energetically. Next in line: 771 meV/atom higher.



P.
Crystalline FeOs2Cl at its relaxed geometry. Source: Alexandria via LeMat-Bulk, functional GGA-PBE.

Geometry as POSCAR:
```
FeOs2Cl
1.0
4.345 0.000 0.000
2.172 3.763 0.000
2.172 1.254 3.548
Cl Os Fe
1 2 1
Direct
0.500 0.500 0.500 Cl
0.250 0.250 0.250 Os
0.000 0.000 0.000 Os
0.750 0.750 0.750 Fe
```

Results
N(E_F) ... 3.7 states/eV per cell
Space group ... F-43m, No. 216



Q.
Crystalline FeOs2Cl at its relaxed geometry. Source: Alexandria via LeMat-Bulk, functional GGA-PBE.

Geometry as POSCAR:
```
FeOs2Cl
1.0
-1.269 -2.503 -0.276
0.428 -0.519 2.738
-6.777 3.253 1.675
Fe Cl Os
1 1 2
Direct
0.500 0.500 0.745 Fe
0.000 0.000 0.541 Cl
0.000 0.000 0.001 Os
0.500 0.500 0.214 Os
```

Results
N(E_F) ... 3.3 states/eV per cell
Space group ... P4mm, No. 99



Q is preferred energetically. Next in line: 570 meV/atom higher.



P.
Crystalline FeOs2Cl at its relaxed geometry. Source: Alexandria via LeMat-Bulk, functional GGA-PBE.

Geometry as POSCAR:
```
FeOs2Cl
1.0
8.594 -0.001 -0.001
8.140 2.755 -0.001
8.140 1.339 2.407
Os Cl Fe
2 1 1
Direct
0.495 0.495 0.495 Os
0.005 0.005 0.005 Os
0.250 0.250 0.250 Cl
0.750 0.750 0.750 Fe
```

Results
N(E_F) ... 3.8 states/eV per cell
Space group ... R-3m, No. 166



Q.
Crystalline FeOs2Cl at its relaxed geometry. Source: Alexandria via LeMat-Bulk, functional GGA-PBE.

Geometry as POSCAR:
```
FeOs2Cl
1.0
-1.658 3.284 1.517
0.504 -0.945 2.597
4.778 1.827 1.266
Cl Os Fe
1 2 1
Direct
0.500 0.250 0.250 Cl
0.000 0.357 0.501 Os
0.000 0.143 0.999 Os
0.500 0.750 0.750 Fe
```

Results
N(E_F) ... 4.4 states/eV per cell
Space group ... P2/m, No. 10



P is preferred energetically. Next in line: 281 meV/atom higher.



P.
Crystalline FeOs2Cl at its relaxed geometry. Source: Alexandria via LeMat-Bulk, functional GGA-PBE.

Geometry as POSCAR:
```
FeOs2Cl
1.0
-0.295 0.211 2.748
-2.217 -0.565 -1.565
1.747 -9.380 0.909
Os Cl Fe
2 1 1
Direct
0.500 0.500 0.209 Os
0.000 0.000 0.981 Os
0.000 0.000 0.559 Cl
0.500 0.500 0.751 Fe
```

Results
N(E_F) ... 5.1 states/eV per cell
Space group ... Cmm2, No. 35



Q.
Crystalline FeOs2Cl at its relaxed geometry. Source: Alexandria via LeMat-Bulk, functional GGA-PBE.

Geometry as POSCAR:
```
FeOs2Cl
1.0
2.782 0.002 0.000
-1.421 2.392 0.000
0.000 0.000 8.810
Os Cl Fe
2 1 1
Direct
0.000 0.000 0.989 Os
0.000 0.000 0.511 Os
0.500 0.500 0.250 Cl
0.500 0.500 0.750 Fe
```

Results
N(E_F) ... 4.2 states/eV per cell
Space group ... Cmmm, No. 65



P is preferred energetically. Next in line: 145 meV/atom higher.



P.
Crystalline FeOs2Cl at its relaxed geometry. Source: Alexandria via LeMat-Bulk, functional GGA-PBE.

Geometry as POSCAR:
```
FeOs2Cl
1.0
5.206 0.054 0.007
2.490 4.573 -0.007
-3.263 -3.287 2.379
Fe Os Cl
1 2 1
Direct
0.267 0.767 0.500 Fe
0.741 0.241 0.500 Os
0.989 0.989 0.000 Os
0.502 0.502 0.000 Cl
```

Results
N(E_F) ... 3.8 states/eV per cell
Space group ... Imm2, No. 44



Q.
Crystalline FeOs2Cl at its relaxed geometry. Source: Alexandria via LeMat-Bulk, functional GGA-PBE.

Geometry as POSCAR:
```
FeOs2Cl
1.0
5.556 0.000 0.000
0.000 5.556 0.000
2.778 2.778 4.761
Fe Os Cl
2 4 2
Direct
0.000 0.000 0.000 Fe
0.750 0.250 0.500 Fe
0.375 0.358 0.750 Os
0.108 0.625 0.250 Os
0.642 0.125 0.250 Os
0.875 0.892 0.750 Os
0.250 0.750 0.500 Cl
0.500 0.500 0.000 Cl
```

Results
N(E_F) ... 9.0 states/eV per cell
Space group ... I-42d, No. 122



P is preferred energetically. Next in line: 484 meV/atom higher.



P.
Crystalline FeOsCl2 at its relaxed geometry. Source: Alexandria via LeMat-Bulk, functional GGA-PBE.

Geometry as POSCAR:
```
FeOsCl2
1.0
-2.810 -0.111 6.414
-5.996 -2.234 2.845
5.802 -0.886 -3.821
Cl Fe Os
2 1 1
Direct
0.387 0.387 0.000 Cl
0.113 0.113 0.000 Cl
0.750 0.250 0.500 Fe
0.250 0.750 0.500 Os
```

Results
N(E_F) ... 1.9 states/eV per cell
Space group ... Immm, No. 71



Q.
Crystalline FeOsCl2 at its relaxed geometry. Source: Alexandria via LeMat-Bulk, functional GGA-PBE.

Geometry as POSCAR:
```
FeOsCl2
1.0
1.778 0.000 7.307
-0.889 1.540 7.307
-0.889 -1.540 7.307
Cl Fe Os
2 1 1
Direct
0.896 0.896 0.896 Cl
0.104 0.104 0.104 Cl
0.500 0.500 0.500 Fe
0.000 0.000 0.000 Os
```

Results
N(E_F) ... 3.0 states/eV per cell
Space group ... R-3m, No. 166



R.
Crystalline FeOsCl2 at its relaxed geometry. Source: Alexandria via LeMat-Bulk, functional GGA-PBE.

Geometry as POSCAR:
```
FeOsCl2
1.0
4.097 0.000 0.000
0.000 3.234 0.077
0.000 -0.353 4.861
Os Fe Cl
1 1 2
Direct
0.500 0.750 0.750 Os
0.500 0.250 0.250 Fe
0.000 0.981 0.994 Cl
0.000 0.519 0.506 Cl
```

Results
N(E_F) ... 4.1 states/eV per cell
Space group ... P2/m, No. 10



S.
Crystalline FeOsCl2 at its relaxed geometry. Source: Alexandria via LeMat-Bulk, functional GGA-PBE.

Geometry as POSCAR:
```
FeOsCl2
1.0
2.946 0.000 0.000
0.000 3.000 -0.005
0.000 0.036 8.486
Cl Os Fe
2 1 1
Direct
0.500 0.378 0.334 Cl
0.000 0.873 0.926 Cl
0.500 0.874 0.704 Os
0.000 0.376 0.536 Fe
```

Results
N(E_F) ... 3.2 states/eV per cell
Space group ... Pm, No. 6



S is preferred energetically. Next in line: 297 meV/atom higher.



P.
Crystalline FeOsCl2 at its relaxed geometry. Source: Alexandria via LeMat-Bulk, functional GGA-PBE.

Geometry as POSCAR:
```
FeOsCl2
1.0
0.000 3.024 3.024
3.024 0.000 3.024
3.024 3.024 0.000
Os Cl Fe
1 2 1
Direct
0.500 0.500 0.500 Os
0.750 0.750 0.750 Cl
0.250 0.250 0.250 Cl
0.000 0.000 0.000 Fe
```

Results
N(E_F) ... 6.4 states/eV per cell
Space group ... Fm-3m, No. 225



Q.
Crystalline FeOsCl2 at its relaxed geometry. Source: Alexandria via LeMat-Bulk, functional GGA-PBE.

Geometry as POSCAR:
```
FeOsCl2
1.0
5.365 0.000 0.000
0.000 5.365 0.000
2.683 2.683 5.143
Fe Cl Os
2 4 2
Direct
0.500 0.500 0.000 Fe
0.250 0.750 0.500 Fe
0.613 0.125 0.250 Cl
0.375 0.387 0.750 Cl
0.137 0.625 0.250 Cl
0.875 0.863 0.750 Cl
0.000 0.000 0.000 Os
0.750 0.250 0.500 Os
```

Results
N(E_F) ... 5.9 states/eV per cell
Space group ... I-42d, No. 122



R.
Crystalline FeOsCl2 at its relaxed geometry. Source: Alexandria via LeMat-Bulk, functional GGA-PBE.

Geometry as POSCAR:
```
FeOsCl2
1.0
-1.389 2.353 0.789
-4.426 -3.139 1.571
1.583 -0.336 3.790
Cl Os Fe
2 1 1
Direct
0.500 0.500 0.000 Cl
0.000 0.000 0.000 Cl
0.000 0.500 0.500 Os
0.500 0.000 0.500 Fe
```

Results
N(E_F) ... 4.5 states/eV per cell
Space group ... Pmmm, No. 47



R is preferred energetically. Next in line: 144 meV/atom higher.



P.
Crystalline Fe2OsCl at its relaxed geometry. Source: Alexandria via LeMat-Bulk, functional GGA-PBE.

Geometry as POSCAR:
```
Fe2OsCl
1.0
-0.581 0.185 -2.740
1.425 -2.374 -0.463
-5.882 -3.724 0.996
Fe Os Cl
2 1 1
Direct
0.000 0.000 0.007 Fe
0.000 0.000 0.493 Fe
0.500 0.500 0.250 Os
0.500 0.500 0.750 Cl
```

Results
N(E_F) ... 2.8 states/eV per cell
Space group ... P4/mmm, No. 123



Q.
Crystalline Fe2OsCl at its relaxed geometry. Source: Alexandria via LeMat-Bulk, functional GGA-PBE.

Geometry as POSCAR:
```
Fe2OsCl
1.0
4.190 -0.003 -0.220
3.242 2.654 -0.220
0.621 0.221 6.378
Fe Cl Os
2 1 1
Direct
0.186 0.186 0.262 Fe
0.906 0.906 0.088 Fe
0.950 0.950 0.737 Cl
0.458 0.458 0.413 Os
```

Results
N(E_F) ... 4.4 states/eV per cell
Space group ... Cm, No. 8



R.
Crystalline Fe2OsCl at its relaxed geometry. Source: Alexandria via LeMat-Bulk, functional GGA-PBE.

Geometry as POSCAR:
```
Fe2OsCl
1.0
2.817 -0.006 0.000
-1.270 2.514 0.000
0.000 0.000 8.129
Fe Cl Os
2 1 1
Direct
0.000 0.000 0.997 Fe
0.000 0.000 0.503 Fe
0.500 0.500 0.750 Cl
0.500 0.500 0.250 Os
```

Results
N(E_F) ... 5.1 states/eV per cell
Space group ... Cmmm, No. 65



P is preferred energetically. Next in line: 67 meV/atom higher.



P.
Crystalline Fe2OsCl at its relaxed geometry. Source: Alexandria via LeMat-Bulk, functional GGA-PBE.

Geometry as POSCAR:
```
Fe2OsCl
1.0
-0.027 1.069 -5.899
-0.918 -4.318 1.626
-2.440 0.045 -1.265
Fe Os Cl
2 1 1
Direct
0.500 0.000 0.500 Fe
0.000 0.000 0.000 Fe
0.000 0.500 0.500 Os
0.500 0.500 0.000 Cl
```

Results
N(E_F) ... 3.8 states/eV per cell
Space group ... Cmmm, No. 65



Q.
Crystalline Fe2OsCl at its relaxed geometry. Source: Alexandria via LeMat-Bulk, functional GGA-PBE.

Geometry as POSCAR:
```
Fe2OsCl
1.0
-0.772 -1.420 2.424
2.383 -1.736 -0.258
3.659 4.458 3.777
Fe Os Cl
2 1 1
Direct
0.000 0.751 0.046 Fe
0.500 0.250 0.249 Fe
0.000 0.750 0.443 Os
0.500 0.749 0.763 Cl
```

Results
N(E_F) ... 3.8 states/eV per cell
Space group ... Pm, No. 6



Q is preferred energetically. Next in line: 331 meV/atom higher.



P.
Crystalline Fe2OsCl at its relaxed geometry. Source: Alexandria via LeMat-Bulk, functional GGA-PBE.

Geometry as POSCAR:
```
Fe2OsCl
1.0
-2.149 -0.450 1.627
2.452 -0.765 0.931
1.194 8.655 3.971
Fe Cl Os
2 1 1
Direct
0.000 0.000 0.015 Fe
0.500 0.500 0.225 Fe
0.500 0.500 0.823 Cl
0.000 0.000 0.437 Os
```

Results
N(E_F) ... 4.2 states/eV per cell
Space group ... Cmm2, No. 35



Q.
Crystalline Fe2OsCl at its relaxed geometry. Source: Alexandria via LeMat-Bulk, functional GGA-PBE.

Geometry as POSCAR:
```
Fe2OsCl
1.0
-0.492 7.931 -1.819
-2.833 7.005 -3.060
-2.849 7.631 -0.324
Fe Os Cl
2 1 1
Direct
0.498 0.498 0.498 Fe
0.002 0.002 0.002 Fe
0.250 0.250 0.250 Os
0.750 0.750 0.750 Cl
```

Results
N(E_F) ... 5.3 states/eV per cell
Space group ... R-3m, No. 166



R.
Crystalline Fe2OsCl at its relaxed geometry. Source: Alexandria via LeMat-Bulk, functional GGA-PBE.

Geometry as POSCAR:
```
Fe2OsCl
1.0
-2.144 -3.464 1.117
2.074 -3.426 1.344
-0.209 -1.136 4.063
Cl Os Fe
1 1 2
Direct
0.500 0.500 0.500 Cl
0.250 0.250 0.250 Os
0.750 0.750 0.750 Fe
0.000 0.000 0.000 Fe
```

Results
N(E_F) ... 5.2 states/eV per cell
Space group ... F-43m, No. 216



S.
Crystalline Fe2OsCl at its relaxed geometry. Source: Alexandria via LeMat-Bulk, functional GGA-PBE.

Geometry as POSCAR:
```
Fe2OsCl
1.0
-2.091 3.616 3.587
-4.486 0.528 -3.147
-5.252 -1.283 2.457
Os Fe Cl
2 4 2
Direct
0.750 0.250 0.500 Os
0.000 0.000 0.000 Os
0.128 0.625 0.250 Fe
0.622 0.125 0.250 Fe
0.875 0.872 0.750 Fe
0.375 0.378 0.750 Fe
0.500 0.500 0.000 Cl
0.250 0.750 0.500 Cl
```

Results
N(E_F) ... 4.9 states/eV per cell
Space group ... I-42d, No. 122



Q is preferred energetically. Next in line: 174 meV/atom higher.